Density functional theory data (PBE) for a geometry-optimized SrTl5Pb structure.

Cell and atoms, written as POSCAR:
```
SrTl5Pb
1.0
7.6027 -4.9655 0.0000
7.6027 4.9655 0.0000
-0.0670 0.0000 6.0028
Sr Tl Pb
2 10 2
Cartesian
7.5525 2.6753 4.5021
7.5860 -2.6753 1.5007
1.6089 0.7950 4.3219
1.6424 -0.7950 1.3205
4.6108 0.8932 2.9674
4.5773 -0.8932 5.9688
7.5860 0.8803 1.5007
7.5525 -0.8803 4.5021
10.5611 0.8932 0.0340
10.5276 -0.8932 3.0354
13.4960 0.7950 4.6822
13.5295 -0.7950 1.6808
3.8014 2.4827 0.0000
3.7679 -2.4827 3.0014
```

Results
E_form (eV/atom): -0.107
Final energy (eV per cell): -35.9
Magnetization (μB per atom): 0.00
N(E_F) (states/eV/atom): 0.5130